! AgOs2Br GGA-PBE optimized geometry; values from VASP
! Total energy ... -5.580 eV/atom
! Calculated volume ... 64.6 Å³/f.u.
! Raw formation energy ... 1.17 eV/atom
! Energy above the lowest structure with this stoichiometry ... 0.623 eV per atom
! Fermi-level density of states ... 2.850 states/eV/cell
! Symmetry ... R-3m (166)
&SYSTEM
  ibrav = 0, nat = 4, ntyp = 3
/
ATOMIC_SPECIES
Os 190.23 Os.upf
Br 79.90 Br.upf
Ag 107.87 Ag.upf
CELL_PARAMETERS angstrom
-0.9108 8.9668 -1.5561
-1.2958 7.9993 -4.2411
-3.5177 8.0911 -2.4112
ATOMIC_POSITIONS crystal
Os 0.0031 0.0031 0.0031
Os 0.4969 0.4969 0.4969
Br 0.7500 0.7500 0.7500
Ag 0.2500 0.2500 0.2500

***

! AgOs3Br GGA-PBE optimized geometry; values from VASP
! Total energy ... -4.460 eV/atom
! Calculated volume ... 121.9 Å³/f.u.
! Raw formation energy ... 3.18 eV/atom
! Energy above the lowest structure with this stoichiometry ... 0.764 eV per atom
! Fermi-level density of states ... 6.316 states/eV/cell
! Symmetry ... Pm-3m (221)
&SYSTEM
  ibrav = 0, nat = 5, ntyp = 3
/
ATOMIC_SPECIES
Ag 107.87 Ag.upf
Os 190.23 Os.upf
Br 79.90 Br.upf
CELL_PARAMETERS angstrom
4.9587 0.0000 0.0000
0.0000 4.9587 0.0000
0.0000 0.0000 4.9587
ATOMIC_POSITIONS crystal
Ag 0.0000 0.0000 0.0000
Os 0.0000 0.5000 0.0000
Os 0.5000 0.0000 0.0000
Os 0.0000 0.0000 0.5000
Br 0.5000 0.5000 0.5000

***

! AgOsBr2 GGA-PBE optimized geometry; values from VASP
! Total energy ... -3.586 eV/atom
! Calculated volume ... 87.8 Å³/f.u.
! Raw formation energy ... 0.77 eV/atom
! Energy above the lowest structure with this stoichiometry ... 0.312 eV per atom
! Fermi-level density of states ... 3.547 states/eV/cell
! Symmetry ... Imm2 (44)
&SYSTEM
  ibrav = 0, nat = 4, ntyp = 3
/
ATOMIC_SPECIES
Ag 107.87 Ag.upf
Br 79.90 Br.upf
Os 190.23 Os.upf
CELL_PARAMETERS angstrom
6.8725 0.0220 -0.0055
4.6520 5.0588 0.0055
-5.3255 -3.5310 2.5304
ATOMIC_POSITIONS crystal
Ag 0.6776 0.1776 0.5000
Br 0.0127 0.0127 0.0000
Br 0.3221 0.8221 0.5000
Os 0.4876 0.4876 0.0000

***

! AgOsBr2 GGA-PBE optimized geometry; values from VASP
! Total energy ... -3.842 eV/atom
! Calculated volume ... 127.2 Å³/f.u.
! Raw formation energy ... 0.51 eV/atom
! Energy above the lowest structure with this stoichiometry ... 0.056 eV per atom
! Fermi-level density of states ... 2.771 states/eV/cell
! Symmetry ... P2/m (10)
&SYSTEM
  ibrav = 0, nat = 4, ntyp = 3
/
ATOMIC_SPECIES
Br 79.90 Br.upf
Os 190.23 Os.upf
Ag 107.87 Ag.upf
CELL_PARAMETERS angstrom
3.7715 0.0000 0.0000
0.0000 6.8500 0.0522
0.0000 4.6580 4.9601
ATOMIC_POSITIONS crystal
Br 0.0000 0.1236 0.1232
Br 0.0000 0.3764 0.3768
Os 0.5000 0.2500 0.2500
Ag 0.5000 0.7500 0.7500